## a
The following is a PBEsol calculation of a relaxed TcMoW crystal, from Alexandria.

Cell: 3.1134 3.1134 9.3211 Å, 90.00 90.00 90.00°
Last column: nearest neighbours and their distance in Å.
Element x y z (fractional)
1 Tc 0.0000 0.0000 0.0000  4 W 2.69, 4 Mo 2.72
2 Tc 0.5000 0.5000 0.5000  4 W 2.69, 4 Mo 2.72
3 Mo 0.0000 0.0000 0.6711  4 W 2.68, 4 Tc 2.72
4 Mo 0.5000 0.5000 0.1711  4 W 2.68, 4 Tc 2.72
5 W 0.0000 0.0000 0.3350  4 Mo 2.68, 4 Tc 2.69
6 W 0.5000 0.5000 0.8350  4 Mo 2.68, 4 Tc 2.69

## Properties
- Fermi-level density of states: 2.51 states/eV/f.u.

## b
The following is a PBEsol calculation of a relaxed TcMoW crystal, from Alexandria.

Cell: 3.1064 4.4179 13.1392 Å, 90.00 90.00 90.00°
Last column: nearest neighbours and their distance in Å.
Element x y z (fractional)
1 Tc 0.0000 0.0000 0.0000  2 Mo 2.67, 2 W 2.67, 4 Tc 2.70
2 Tc 0.0000 0.5000 0.5000  2 Mo 2.67, 2 W 2.67, 4 Tc 2.70
3 Tc 0.5000 0.0000 0.5000  2 Mo 2.67, 2 W 2.67, 4 Tc 2.70
4 Tc 0.5000 0.5000 0.0000  2 Mo 2.67, 2 W 2.67, 4 Tc 2.70
5 Mo 0.0000 0.0000 0.3348  2 Tc 2.67, 4 Mo 2.70, 2 W 2.71
6 Mo 0.0000 0.5000 0.8348  2 Tc 2.67, 4 Mo 2.70, 2 W 2.71
7 Mo 0.5000 0.0000 0.8348  2 Tc 2.67, 4 Mo 2.70, 2 W 2.71
8 Mo 0.5000 0.5000 0.3348  2 Tc 2.67, 4 Mo 2.70, 2 W 2.71
9 W 0.0000 0.0000 0.6655  2 Tc 2.67, 4 W 2.70, 2 Mo 2.71
10 W 0.0000 0.5000 0.1655  2 Tc 2.67, 4 W 2.70, 2 Mo 2.71
11 W 0.5000 0.0000 0.1655  2 Tc 2.67, 4 W 2.70, 2 Mo 2.71
12 W 0.5000 0.5000 0.6655  2 Tc 2.67, 4 W 2.70, 2 Mo 2.71

## Properties
- Fermi-level density of states: 2.84 states/eV/f.u.

Least stable structure: b

## a
The following is a PBEsol calculation of a relaxed YTcMo2 crystal, from Alexandria.

Cell: 3.1976 4.7594 8.9655 Å, 90.00 90.00 90.00°
Last column: nearest neighbours and their distance in Å.
Element x y z (fractional)
1 Y 0.0000 0.0000 0.0000  4 Tc 2.86-3.18, 8 Mo 2.87-3.15, 2 Y 3.20
2 Y 0.5000 0.5000 0.5000  4 Tc 2.86-3.18, 8 Mo 2.87-3.15, 2 Y 3.20
3 Tc 0.0000 0.5000 0.2358  6 Mo 2.63-2.88, 2 Y 2.86
4 Tc 0.5000 0.0000 0.7358  6 Mo 2.63-2.88, 2 Y 2.86
5 Mo 0.0000 0.0000 0.5026  2 Tc 2.63, 2 Mo 2.63, 4 Y 2.87
6 Mo 0.0000 0.5000 0.7694  2 Mo 2.63, 4 Tc 2.88, 2 Y 2.90
7 Mo 0.5000 0.0000 0.2694  2 Mo 2.63, 4 Tc 2.88, 2 Y 2.90
8 Mo 0.5000 0.5000 0.0026  2 Tc 2.63, 2 Mo 2.63, 4 Y 2.87

## Properties
- Fermi-level density of states: 2.59 states/eV/f.u.

## b
The following is a PBEsol calculation of a relaxed YTcMo2 crystal, from Alexandria.

Cell: 3.7962 3.7962 9.5962 Å, 90.00 90.00 90.00°
Last column: nearest neighbours and their distance in Å.
Element x y z (fractional)
1 Y 0.0000 0.0000 0.0000  4 Tc 2.68
2 Y 0.5000 0.5000 0.5000  4 Tc 2.68
3 Tc 0.0000 0.0000 0.5000  4 Y 2.68
4 Tc 0.5000 0.5000 0.0000  4 Y 2.68
5 Mo 0.0000 0.5000 0.2500  4 Mo 2.68
6 Mo 0.0000 0.5000 0.7500  4 Mo 2.68
7 Mo 0.5000 0.0000 0.2500  4 Mo 2.68
8 Mo 0.5000 0.0000 0.7500  4 Mo 2.68

## Properties
- Fermi-level density of states: 3.81 states/eV/f.u.

## c
The following is a PBEsol calculation of a relaxed YTcMo2 crystal, from Alexandria.

Cell: 3.1991 4.4935 4.6878 Å, 90.00 90.00 90.00°
Last column: nearest neighbours and their distance in Å.
Element x y z (fractional)
1 Y 0.0000 0.0000 0.0000  4 Tc 2.76, 4 Mo 2.84
2 Tc 0.5000 0.5000 0.0000  4 Y 2.76, 4 Mo 2.84
3 Mo 0.0000 0.5000 0.5000  4 Mo 2.76, 4 Tc 2.84
4 Mo 0.5000 0.0000 0.5000  4 Mo 2.76, 4 Y 2.84

## Properties
- Fermi-level density of states: 3.39 states/eV/f.u.

## d
The following is a PBEsol calculation of a relaxed YTcMo2 crystal, from Alexandria.

Cell: 3.0526 3.0526 26.0798 Å, 90.00 90.00 120.00°
Last column: nearest neighbours and their distance in Å.
Element x y z (fractional)
1 Y 0.0000 0.0000 0.0000  3 Tc 2.97, 3 Mo 3.03, 6 Y 3.05
2 Y 0.3333 0.6667 0.6667  3 Tc 2.97, 3 Mo 3.03, 6 Y 3.05
3 Y 0.6667 0.3333 0.3333  3 Tc 2.97, 3 Mo 3.03, 6 Y 3.05
4 Tc 0.0000 0.0000 0.2416  3 Mo 2.60
5 Tc 0.3333 0.6667 0.9082  3 Mo 2.60
6 Tc 0.6667 0.3333 0.5749  3 Mo 2.60
7 Mo 0.0000 0.0000 0.5019  3 Tc 2.60, 3 Mo 2.61
8 Mo 0.0000 0.0000 0.7614  3 Mo 2.61
9 Mo 0.3333 0.6667 0.1685  3 Tc 2.60, 3 Mo 2.61
10 Mo 0.3333 0.6667 0.4281  3 Mo 2.61
11 Mo 0.6667 0.3333 0.0947  3 Mo 2.61
12 Mo 0.6667 0.3333 0.8352  3 Tc 2.60, 3 Mo 2.61

## Properties
- Fermi-level density of states: 4.45 states/eV/f.u.

Least stable structure: b

## a
The following is a PBEsol calculation of a relaxed ZnTcMo crystal, from Alexandria.

Cell: 4.3472 4.3472 2.6143 Å, 90.00 90.00 120.00°
Last column: nearest neighbours and their distance in Å.
Element x y z (fractional)
1 Zn 0.0000 0.0000 0.0000  2 Zn 2.61, 3 Tc 2.68, 3 Mo 2.71
2 Tc 0.3333 0.6667 0.6445  3 Mo 2.59, 2 Tc 2.61, 3 Zn 2.68
3 Mo 0.6667 0.3333 0.3942  3 Tc 2.59, 2 Mo 2.61, 3 Zn 2.71

## Properties
- Fermi-level density of states: 1.92 states/eV/f.u.

## b
The following is a PBEsol calculation of a relaxed ZnTcMo crystal, from Alexandria.

Cell: 5.8891 5.8891 5.8891 Å, 90.00 90.00 90.00°
Last column: nearest neighbours and their distance in Å.
Element x y z (fractional)
1 Zn 0.0000 0.0000 0.0000  4 Mo 2.55
2 Zn 0.0000 0.5000 0.5000  4 Mo 2.55
3 Zn 0.5000 0.0000 0.5000  4 Mo 2.55
4 Zn 0.5000 0.5000 0.0000  4 Mo 2.55
5 Tc 0.0000 0.0000 0.5000  4 Mo 2.55
6 Tc 0.0000 0.5000 0.0000  4 Mo 2.55
7 Tc 0.5000 0.0000 0.0000  4 Mo 2.55
8 Tc 0.5000 0.5000 0.5000  4 Mo 2.55
9 Mo 0.2500 0.2500 0.2500  4 Zn 2.55, 4 Tc 2.55
10 Mo 0.2500 0.7500 0.7500  4 Tc 2.55, 4 Zn 2.55
11 Mo 0.7500 0.2500 0.7500  4 Tc 2.55, 4 Zn 2.55
12 Mo 0.7500 0.7500 0.2500  4 Tc 2.55, 4 Zn 2.55

## Properties
- Fermi-level density of states: 3.85 states/eV/f.u.

Least stable structure: b

## a
The following is a PBEsol calculation of a relaxed TeMo crystal, from Alexandria.

Cell: 3.2715 3.2715 8.1030 Å, 90.00 90.00 120.00°
Last column: nearest neighbours and their distance in Å.
Element x y z (fractional)
1 Te 0.0000 0.0000 0.0000  6 Mo 2.77
2 Te 0.0000 0.0000 0.5000  6 Mo 2.77
3 Mo 0.3333 0.6667 0.2500  6 Te 2.77
4 Mo 0.6667 0.3333 0.7500  6 Te 2.77

## Properties
- Fermi-level density of states: 2.49 states/eV/f.u.

## b
The following is a PBEsol calculation of a relaxed TeMo crystal, from Alexandria.

Cell: 3.3008 4.8101 4.7591 Å, 90.00 90.00 90.00°
Last column: nearest neighbours and their distance in Å.
Element x y z (fractional)
1 Te 0.2500 0.2500 0.1420  4 Mo 2.71-2.72
2 Te 0.7500 0.7500 0.8580  4 Mo 2.71-2.72
3 Mo 0.2500 0.7500 0.4028  4 Te 2.71-2.72
4 Mo 0.7500 0.2500 0.5972  4 Te 2.71-2.72

## Properties
- Fermi-level density of states: 1.21 states/eV/f.u.

Least stable structure: a

## a
The following is a PBEsol calculation of a relaxed Ti3TeMo crystal, from Alexandria.

Cell: 4.6914 4.6914 4.6914 Å, 90.00 90.00 90.00°
Last column: nearest neighbours and their distance in Å.
Element x y z (fractional)
1 Ti 0.0000 0.0000 0.5000  2 Mo 2.35
2 Ti 0.0000 0.5000 0.0000  2 Mo 2.35
3 Ti 0.5000 0.0000 0.0000  2 Mo 2.35
4 Te 0.5000 0.5000 0.5000  12 Ti 3.32
5 Mo 0.0000 0.0000 0.0000  6 Ti 2.35

## Properties
- Fermi-level density of states: 9.24 states/eV/f.u.

## b
The following is a PBEsol calculation of a relaxed Ti3TeMo crystal, from Alexandria.

Cell: 4.8236 4.8236 4.8236 Å, 90.00 90.00 90.00°
Last column: nearest neighbours and their distance in Å.
Element x y z (fractional)
1 Ti 0.0000 0.0000 0.5000  2 Te 2.41
2 Ti 0.0000 0.5000 0.0000  2 Te 2.41
3 Ti 0.5000 0.0000 0.0000  2 Te 2.41
4 Te 0.0000 0.0000 0.0000  6 Ti 2.41
5 Mo 0.5000 0.5000 0.5000  12 Ti 3.41

## Properties
- Fermi-level density of states: 8.17 states/eV/f.u.

Least stable structure: b

## a
The following is a PBEsol calculation of a relaxed TlTeMo2 crystal, from Alexandria.

Cell: 4.6502 4.6502 3.3206 Å, 90.00 90.00 90.00°
Last column: nearest neighbours and their distance in Å.
Element x y z (fractional)
1 Tl 0.0000 0.0000 0.0000  8 Mo 2.86
2 Te 0.5000 0.5000 0.0000  8 Mo 2.86
3 Mo 0.0000 0.5000 0.5000  4 Tl 2.86, 4 Te 2.86
4 Mo 0.5000 0.0000 0.5000  4 Tl 2.86, 4 Te 2.86

## Properties
- Fermi-level density of states: 4.28 states/eV/f.u.

## b
The following is a PBEsol calculation of a relaxed TlTeMo2 crystal, from Alexandria.

Cell: 6.0558 8.8174 3.1277 Å, 90.00 114.38 90.00°
Last column: nearest neighbours and their distance in Å.
Element x y z (fractional)
1 Tl 0.0000 0.0000 0.0000  4 Mo 2.76, 2 Te 3.03
2 Tl 0.5000 0.5000 0.0000  4 Mo 2.76, 2 Te 3.03
3 Te 0.0000 0.5000 0.0000  4 Mo 2.76, 2 Tl 3.03
4 Te 0.5000 0.0000 0.0000  4 Mo 2.76, 2 Tl 3.03
5 Mo 0.2500 0.2500 0.5000  2 Tl 2.76, 2 Te 2.76, 2 Mo 3.03
6 Mo 0.2500 0.7500 0.5000  2 Tl 2.76, 2 Te 2.76, 2 Mo 3.03
7 Mo 0.7500 0.2500 0.5000  2 Tl 2.76, 2 Te 2.76, 2 Mo 3.03
8 Mo 0.7500 0.7500 0.5000  2 Tl 2.76, 2 Te 2.76, 2 Mo 3.03

## Properties
- Fermi-level density of states: 4.26 states/eV/f.u.

Least stable structure: b

## a
The following is a PBEsol calculation of a relaxed Tl2TeMo crystal, from Alexandria.

Cell: 4.2218 4.2218 5.5440 Å, 90.00 90.00 90.00°
Last column: nearest neighbours and their distance in Å.
Element x y z (fractional)
1 Tl 0.0000 0.5000 0.0000  4 Tl 2.99
2 Tl 0.5000 0.0000 0.0000  4 Tl 2.99
3 Te 0.0000 0.0000 0.5000  4 Mo 2.99
4 Mo 0.5000 0.5000 0.5000  4 Te 2.99

## Properties
- Fermi-level density of states: 2.72 states/eV/f.u.

## b
The following is a PBEsol calculation of a relaxed Tl2TeMo crystal, from Alexandria.

Cell: 4.4972 3.7997 10.9108 Å, 90.00 90.00 90.00°
Last column: nearest neighbours and their distance in Å.
Element x y z (fractional)
1 Tl 0.0000 0.0000 0.0000  3 Mo 2.90-3.18, 4 Te 3.13
2 Tl 0.0000 0.5000 0.5000  3 Mo 2.90-3.18, 4 Te 3.13
3 Tl 0.5000 0.0000 0.3176  3 Te 3.06, 4 Mo 3.08
4 Tl 0.5000 0.5000 0.8176  3 Te 3.06, 4 Mo 3.08
5 Te 0.5000 0.0000 0.5978  2 Mo 2.70
6 Te 0.5000 0.5000 0.0978  2 Mo 2.70
7 Mo 0.0000 0.0000 0.7340  2 Te 2.70, 1 Tl 2.90
8 Mo 0.0000 0.5000 0.2340  2 Te 2.70, 1 Tl 2.90

## Properties
- Fermi-level density of states: 3.16 states/eV/f.u.

Least stable structure: a

## a
The following is a PBEsol calculation of a relaxed Te2MoW crystal, from Alexandria.

Cell: 6.2450 8.6947 3.2103 Å, 90.00 117.35 90.00°
Last column: nearest neighbours and their distance in Å.
Element x y z (fractional)
1 Te 0.2500 0.2500 0.0000  2 W 2.73, 2 Mo 2.73
2 Te 0.2500 0.7500 0.0000  2 W 2.73, 2 Mo 2.73
3 Te 0.7500 0.2500 0.0000  2 Mo 2.73, 2 W 2.73
4 Te 0.7500 0.7500 0.0000  2 W 2.73, 2 Mo 2.73
5 Mo 0.0000 0.0000 0.5000  4 Te 2.73
6 Mo 0.5000 0.5000 0.5000  4 Te 2.73
7 W 0.0000 0.5000 0.5000  4 Te 2.73
8 W 0.5000 0.0000 0.5000  4 Te 2.73

## Properties
- Fermi-level density of states: 3.90 states/eV/f.u.

## b
The following is a PBEsol calculation of a relaxed Te2MoW crystal, from Alexandria.

Cell: 3.4557 4.2241 6.5626 Å, 90.00 90.00 90.00°
Last column: nearest neighbours and their distance in Å.
Element x y z (fractional)
1 Te 0.0000 0.0000 0.0000  2 Mo 2.68, 2 W 2.80
2 Te 0.5000 0.5000 0.4083  2 W 2.68, 2 Mo 2.80
3 Mo 0.5000 0.0000 0.6883  4 Te 2.68-2.80, 4 W 2.74
4 W 0.0000 0.5000 0.7207  4 Te 2.68-2.80, 4 Mo 2.74

## Properties
- Fermi-level density of states: 1.96 states/eV/f.u.

Least stable structure: a